No. 1
Compound: Tb5Sm2Dy
Source: the Alexandria database
Functional: PBE
Structure: relaxed

Unit cell a=7.1536 b=14.3104 c=5.0477 alpha=90.00 beta=90.00 gamma=90.00
Space group Pbam (No. 55)
Inequivalent atoms, fractional coordinates:
Tb 0.0000 0.0000 0.0000 x2
Tb 0.0010 0.2501 0.0000 x4
Tb 0.2492 0.8750 0.5000 x4
Sm 0.2492 0.6249 0.5000 x4
Dy 0.0000 0.5000 0.0000 x2

- Magnetization: 0.000 μB per formula unit
- Offset from the most stable computed form: 0.00 kJ/mol of atoms
- E_form: 0.01 eV/atom

=====

No. 2
Compound: BaIn2Fe
Source: the Alexandria database
Functional: PBE
Structure: relaxed

Unit cell a=5.7415 b=5.7415 c=17.2072 alpha=90.00 beta=90.00 gamma=90.00
Space group I-42d (No. 122)
Inequivalent atoms, fractional coordinates:
Ba 0.0000 0.0000 0.0000 x4
In 0.0010 0.2500 0.6250 x8
Fe 0.0000 0.0000 0.5000 x4

- Magnetization: 2.201 μB per formula unit
- E_form: 0.24 eV/atom